A PBEsol-optimized structure of Y2Ag3. Source: Alexandria via LeMat-Bulk, functional meta-GGA SCAN.

Geometry as POSCAR:
```
Y2Ag3
1.0
0.000 7.689 2.894
4.935 0.000 2.894
4.935 7.689 0.000
Y Ag
4 6
direct
0.123 0.877 0.273
0.523 0.977 0.373
0.877 0.123 0.727
0.977 0.523 0.127
0.159 0.159 0.841
0.409 0.409 0.091
0.453 0.561 0.306
0.561 0.453 0.680
0.570 0.944 0.689
0.944 0.570 0.797
```

Summary:
**E above lowest polymorph**: 75 meV per atom
**M_tot**: 0.000 μB/atom
**Energy relative to the elements**: -0.3027 eV per atom
**Final energy**: -302.60 eV/cell
**D(E_F)**: 7.5 states/eV/cell